CaTa2MoO8: optimized geometry, GGA+U.

Its calculated total energy is -8.636 eV/atom.

Cell: 4.8930 4.8927 6.3756 Å, 89.94 89.97 88.84°
Last column: nearest neighbours and their distance in Å.
Positions (direct):
O (0.2173, 0.7832, 0.7771)  1 Ta 1.95, 1 Mo 2.06
O (0.6974, 0.6974, 0.0003)  2 Ta 2.11-2.13, 1 Mo 2.11
O (0.6766, 0.6767, 0.4997)  2 Ta 2.00-2.01
O (0.7827, 0.2168, 0.2229)  1 Ta 1.95, 1 Mo 2.06
O (0.3234, 0.3233, 0.5003)  2 Ta 2.00-2.01
O (0.3026, 0.3026, 0.9997)  2 Ta 2.11-2.13, 1 Mo 2.11
O (0.7835, 0.2171, 0.7773)  1 Ta 1.95, 1 Mo 2.05
O (0.2165, 0.7829, 0.2227)  1 Ta 1.95, 1 Mo 2.05
Ta (0.5015, 0.5014, 0.2526)  6 O 1.95-2.13
Ta (0.4985, 0.4986, 0.7474)  6 O 1.95-2.13
Mo (0.0000, 0.0000, 0.0000)  6 O 2.05-2.11
Ca (0.0000, 0.0000, 0.5000)  6 O 2.26-2.31